CoTcSb2Te at its PBEsol-relaxed geometry, computed with SCAN.

Computed properties:
Crystal system: tetragonal
Formation energy from raw total energies, eV per atom: 0.971
DOS at the Fermi energy, states/eV per cell: 4.37

Geometry as CIF:
```
data_CoTcSb2Te
_chemical_formula_sum 'Co1 Tc1 Sb2 Te1'
_space_group_name_H-M_alt 'P 1'
_space_group_IT_number 1
_space_group_name_Hall 'P 1'
_cell_length_a 4.715
_cell_length_b 4.715
_cell_length_c 4.980
_cell_angle_alpha 90.00
_cell_angle_beta 90.00
_cell_angle_gamma 90.00
loop_
_atom_site_label
_atom_site_type_symbol
_atom_site_fract_x
_atom_site_fract_y
_atom_site_fract_z
_atom_site_occupancy
Sb1 Sb 0.000 0.500 0.000 1
Sb2 Sb 0.500 0.000 0.000 1
Te1 Te 0.000 0.000 0.500 1
Co1 Co 0.000 0.000 0.000 1
Tc1 Tc 0.500 0.500 0.500 1
```